1.
Here is a relaxed LiGeB crystal from Alexandria via LeMat-Bulk. Energies are from PBE.

Results
* DOS at the Fermi energy: 0.000 states/eV/f.u.
* energy of formation from the pure elements: 0.208 eV per atom

Structure (POSCAR):
```
LiGeB
1.0
4.522 -4.317 0.000
4.522 4.317 0.000
-3.453 0.000 4.427
Li Ge B
4 4 4
Direct
0.064 0.936 0.500
0.290 0.472 0.147
0.472 0.290 0.647
0.936 0.064 0.000
0.015 0.407 0.559
0.407 0.015 0.059
0.642 0.854 0.429
0.854 0.642 0.929
0.288 0.664 0.663
0.532 0.729 0.662
0.664 0.288 0.163
0.729 0.532 0.162
```

2.
Here is a relaxed La3Dy2Er2 crystal from Alexandria via LeMat-Bulk. Energies are from PBE.

Results
* DOS at the Fermi energy: 10.818 states/eV/f.u.
* energy above the lowest structure with this stoichiometry: 59 meV per atom
* energy of formation from the pure elements: 0.114 eV per atom

Structure (POSCAR):
```
La3Dy2Er2
1.0
8.875 -1.758 0.000
8.875 1.758 0.000
-4.108 0.000 7.567
La Dy Er
3 2 2
Direct
0.000 0.000 0.000
0.214 0.214 0.295
0.786 0.786 0.705
0.435 0.435 0.589
0.565 0.565 0.411
0.141 0.141 0.820
0.859 0.859 0.180
```

3.
Here is a relaxed Pr4ClO5 crystal from Alexandria via LeMat-Bulk. Energies are from PBE.

Results
* raw formation energy: -2.90 eV per atom
* DOS at the Fermi energy: 1.743 states/eV/f.u.

Structure (POSCAR):
```
Pr4ClO5
1.0
7.344 0.000 0.000
0.000 9.268 0.000
0.000 0.000 6.056
Pr Cl O
8 2 10
Direct
0.007 0.250 0.038
0.250 0.037 0.538
0.250 0.463 0.538
0.493 0.250 0.038
0.507 0.750 0.962
0.750 0.537 0.462
0.750 0.963 0.462
0.993 0.750 0.962
0.250 0.750 0.333
0.750 0.250 0.667
0.004 0.066 0.272
0.004 0.434 0.272
0.250 0.250 0.760
0.496 0.066 0.272
0.496 0.434 0.272
0.504 0.566 0.728
0.504 0.934 0.728
0.750 0.750 0.240
0.996 0.566 0.728
0.996 0.934 0.728
```

Question: Which value of DOS at the Fermi energy does entry 3 give?
Answer: 1.743 states/eV/f.u.

Question: Look up the DOS at the Fermi energy of the second one.
Answer: 10.818 states/eV/f.u.

Question: What is the DOS at the Fermi energy in the third record?
Answer: 1.743 states/eV/f.u.

Question: DOS at the Fermi energy of number 1 (LiGeB)?
Answer: 0.000 states/eV/f.u.